Crystalline CrCuF4 at its relaxed geometry. Source: Alexandria, functional GGA+U.

Theoretical density in Mg/m³: 3.83
VASP energy in eV per atom: -5.29
Magnetic moment in μB per cell: 5.94
Volume in Å³ per cell: 165.9

Lattice parameters (Å, degrees): 7.087 7.087 5.141 106.10 106.10 125.87
Fractional coordinates of all 12 atoms:
Cr: 0.186 0.814 0.750
Cr: 0.814 0.186 0.250
Cu: 0.423 0.577 0.250
Cu: 0.577 0.423 0.750
F: 0.070 0.473 0.730
F: 0.123 0.278 0.231
F: 0.278 0.123 0.731
F: 0.473 0.070 0.230
F: 0.527 0.930 0.770
F: 0.722 0.877 0.269
F: 0.877 0.722 0.769
F: 0.930 0.527 0.270